(1)
! POs2Rh, optimized geometry, DFT PBE; values from VASP
&SYSTEM
  ibrav = 0, nat = 4, ntyp = 3
/
ATOMIC_SPECIES
P 30.97 P.upf
Rh 102.91 Rh.upf
Os 190.23 Os.upf
CELL_PARAMETERS angstrom
0.972 -4.210 0.189
-2.741 -2.770 1.877
-2.198 -2.838 -2.413
ATOMIC_POSITIONS angstrom
P -1.983 -4.909 -0.173
Rh -2.975 -7.363 -0.260
Os -0.992 -2.454 -0.087
Os 0.000 0.000 0.000
! Density   14.93 Mg/m³
! Space group   F-43m (216)
! Calculated total energy   -8.23 eV per atom
! Magnetization   0.34 μB/atom

=====

(2)
! POs2Rh, optimized geometry, DFT PBE; values from VASP
&SYSTEM
  ibrav = 0, nat = 4, ntyp = 3
/
ATOMIC_SPECIES
Os 190.23 Os.upf
P 30.97 P.upf
Rh 102.91 Rh.upf
CELL_PARAMETERS angstrom
2.784 0.000 0.000
0.000 3.710 0.000
0.000 0.000 5.572
ATOMIC_POSITIONS angstrom
Os 1.392 1.855 1.212
Os 0.000 0.000 0.038
P 0.000 0.000 3.152
Rh 1.392 1.855 3.955
! Density   14.84 Mg/m³
! Space group   Pmm2 (25)
! Calculated total energy   -8.61 eV per atom
! Magnetization   0.00 μB/atom

=====

(3)
! POsRh4, optimized geometry, DFT PBE; values from VASP
&SYSTEM
  ibrav = 0, nat = 6, ntyp = 3
/
ATOMIC_SPECIES
P 30.97 P.upf
Rh 102.91 Rh.upf
Os 190.23 Os.upf
CELL_PARAMETERS angstrom
-3.002 -4.028 -0.671
-4.667 0.604 -1.882
-1.071 -1.610 -4.685
ATOMIC_POSITIONS angstrom
P 0.000 0.000 0.000
Rh -5.607 -1.589 -3.655
Rh -3.281 -1.890 -2.717
Rh -3.815 -2.692 -5.052
Rh -4.778 -3.897 -3.051
Os -6.556 -3.776 -5.428
! Density   11.41 Mg/m³
! Space group   F-43m (216)
! Calculated total energy   -6.87 eV per atom
! Magnetization   0.34 μB/atom

=====

(4)
! P2OsRh, optimized geometry, DFT PBE; values from VASP
&SYSTEM
  ibrav = 0, nat = 4, ntyp = 3
/
ATOMIC_SPECIES
Os 190.23 Os.upf
P 30.97 P.upf
Rh 102.91 Rh.upf
CELL_PARAMETERS angstrom
2.990 0.000 0.000
0.000 2.990 0.000
0.000 0.000 5.935
ATOMIC_POSITIONS angstrom
Os 1.495 1.495 4.451
P 0.000 0.000 5.927
P 0.000 0.000 2.975
Rh 1.495 1.495 1.484
! Density   11.11 Mg/m³
! Space group   P4/mmm (123)
! Calculated total energy   -7.36 eV per atom
! Magnetization   0.00 μB/atom

=====

(5)
! P2OsRh, optimized geometry, DFT PBE; values from VASP
&SYSTEM
  ibrav = 0, nat = 4, ntyp = 3
/
ATOMIC_SPECIES
P 30.97 P.upf
Os 190.23 Os.upf
Rh 102.91 Rh.upf
CELL_PARAMETERS angstrom
4.306 0.000 0.000
2.153 3.729 0.000
2.153 1.243 3.516
ATOMIC_POSITIONS angstrom
P 2.153 1.243 0.879
P 0.000 0.000 0.000
Os 4.306 2.486 1.758
Rh 6.459 3.729 2.637
! Density   10.44 Mg/m³
! Space group   F-43m (216)
! Calculated total energy   -6.77 eV per atom
! Magnetization   0.00 μB/atom

=====

(6)
! POs2Rh, optimized geometry, DFT PBE; values from VASP
&SYSTEM
  ibrav = 0, nat = 4, ntyp = 3
/
ATOMIC_SPECIES
Rh 102.91 Rh.upf
Os 190.23 Os.upf
P 30.97 P.upf
CELL_PARAMETERS angstrom
-1.402 2.132 4.634
1.402 -2.132 4.634
1.402 2.132 -4.634
ATOMIC_POSITIONS angstrom
Rh 0.000 2.132 0.000
Os 0.000 0.000 7.371
Os 0.000 0.000 1.898
P 1.402 0.000 0.000
! Density   15.41 Mg/m³
! Space group   Immm (71)
! Calculated total energy   -8.85 eV per atom
! Magnetization   0.00 μB/atom

=====

(7)
! POs2Rh, optimized geometry, DFT PBE; values from VASP
&SYSTEM
  ibrav = 0, nat = 4, ntyp = 3
/
ATOMIC_SPECIES
Os 190.23 Os.upf
P 30.97 P.upf
Rh 102.91 Rh.upf
CELL_PARAMETERS angstrom
-6.299 -0.854 -5.254
-5.623 -3.550 -4.878
-7.319 -2.261 -3.053
ATOMIC_POSITIONS angstrom
Os -4.642 -1.608 -3.181
Os -14.598 -5.057 -10.004
P -9.620 -3.332 -6.592
Rh 0.000 0.000 0.000
! Density   15.50 Mg/m³
! Space group   R-3m (166)
! Calculated total energy   -8.70 eV per atom
! Magnetization   0.00 μB/atom

=====

(8)
! P2OsRh, optimized geometry, DFT PBE; values from VASP
&SYSTEM
  ibrav = 0, nat = 4, ntyp = 3
/
ATOMIC_SPECIES
P 30.97 P.upf
Rh 102.91 Rh.upf
Os 190.23 Os.upf
CELL_PARAMETERS angstrom
4.028 -0.009 0.006
2.958 2.733 0.006
1.013 0.395 4.912
ATOMIC_POSITIONS angstrom
P 1.036 0.404 4.856
P 3.976 1.551 2.518
Rh 2.000 0.780 1.231
Os 5.999 2.340 3.693
! Density   10.88 Mg/m³
! Space group   C2/m (12)
! Calculated total energy   -7.50 eV per atom
! Magnetization   0.00 μB/atom

=====

What is the formula in the eighth record?
P2OsRh

=====

Which formula does entry 6 have?
POs2Rh